No. 1
The following is a PBE-GGA calculation of an optimized crystal structure of TaCoIr, from the Alexandria database.

Calculated values
Calculated total energy, eV per atom: -9.623
D(E_F), states/eV/f.u.: 2.7
Spin magnetization, μB per cell: 0.00

Geometry as CIF:
```
data_TaCoIr
_space_group_name_H-M_alt 'C 1 m 1'
_space_group_IT_number 8
_space_group_name_Hall 'C -2y'
_cell_length_a 8.361
_cell_length_b 4.140
_cell_length_c 5.096
_cell_angle_alpha 90.00
_cell_angle_beta 94.33
_cell_angle_gamma 90.00
loop_
_atom_site_label
_atom_site_type_symbol
_atom_site_fract_x
_atom_site_fract_y
_atom_site_fract_z
Ta1 Ta 0.000 0.000 0.000
Ta2 Ta 0.095 0.500 0.526
Co1 Co 0.191 0.500 0.041
Co2 Co 0.255 0.000 0.283
Ir1 Ir 0.301 0.000 0.790
Ir2 Ir 0.403 0.500 0.479
```

No. 2
The following is a PBE-GGA calculation of an optimized crystal structure of LaSm2HfN4, from the Alexandria database.

Calculated values
Formation energy (no corrections), eV per atom: -1.478
D(E_F), states/eV/f.u.: 1.3
Spin magnetization, μB per cell: 0.00

Geometry as CIF:
```
data_LaSm2HfN4
_space_group_name_H-M_alt 'P 1 2/m 1'
_space_group_IT_number 10
_space_group_name_Hall '-P 2y'
_cell_length_a 6.070
_cell_length_b 3.500
_cell_length_c 6.152
_cell_angle_alpha 90.00
_cell_angle_beta 109.13
_cell_angle_gamma 90.00
loop_
_atom_site_label
_atom_site_type_symbol
_atom_site_fract_x
_atom_site_fract_y
_atom_site_fract_z
La1 La 0.000 0.000 0.000
Sm1 Sm 0.500 0.000 0.500
Sm2 Sm 0.500 0.500 0.000
Hf1 Hf 0.000 0.500 0.500
N1 N 0.228 0.000 0.723
N2 N 0.237 0.500 0.276
```

No. 3
The following is a PBE-GGA calculation of an optimized crystal structure of Ba3Ac3NpO8, from the Alexandria database.

Calculated values
Formation energy (no corrections), eV per atom: -2.669
D(E_F), states/eV/f.u.: 15.5
Spin magnetization, μB per cell: 13.04

Geometry as CIF:
```
data_Ba3Ac3NpO8
_space_group_name_H-M_alt 'R -3 m'
_space_group_IT_number 166
_space_group_name_Hall '-R 3 2"'
_cell_length_a 7.6159
_cell_length_b 7.6159
_cell_length_c 19.1679
_cell_angle_alpha 90.00
_cell_angle_beta 90.00
_cell_angle_gamma 120.00
loop_
_atom_site_label
_atom_site_type_symbol
_atom_site_fract_x
_atom_site_fract_y
_atom_site_fract_z
Ba1 Ba 0.0000 0.5000 0.0000
Ac1 Ac 0.0000 0.5000 0.5000
Np1 Np 0.0000 0.0000 0.5000
O1 O 0.0000 0.0000 0.2361
O2 O 0.0352 0.5176 0.2280
```

No. 4
The following is a PBE-GGA calculation of an optimized crystal structure of MgGa8Rh2, from the Alexandria database.

Calculated values
Calculated total energy, eV per atom: -3.962
D(E_F), states/eV/f.u.: 2.8
Spin magnetization, μB per cell: 0.00

Geometry as CIF:
```
data_MgGa8Rh2
_space_group_name_H-M_alt 'C 1 2/m 1'
_space_group_IT_number 12
_space_group_name_Hall '-C 2y'
_cell_length_a 11.442
_cell_length_b 7.026
_cell_length_c 5.051
_cell_angle_alpha 90.00
_cell_angle_beta 100.19
_cell_angle_gamma 90.00
loop_
_atom_site_label
_atom_site_type_symbol
_atom_site_fract_x
_atom_site_fract_y
_atom_site_fract_z
Mg1 Mg 0.000 0.000 0.000
Ga1 Ga 0.077 0.500 0.850
Ga2 Ga 0.105 0.282 0.410
Ga3 Ga 0.215 0.000 0.810
Rh1 Rh 0.225 0.000 0.314
```

No. 5
The following is a PBE-GGA calculation of an optimized crystal structure of K3NaTe2O6, from the Alexandria database.

Calculated values
Formation energy (no corrections), eV per atom: -1.489
D(E_F), states/eV/f.u.: 0.0
Spin magnetization, μB per cell: 0.00

Geometry as CIF:
```
data_K3NaTe2O6
_space_group_name_H-M_alt 'P -3 m 1'
_space_group_IT_number 164
_space_group_name_Hall '-P 3 2"'
_cell_length_a 6.2526
_cell_length_b 6.2526
_cell_length_c 7.1464
_cell_angle_alpha 90.00
_cell_angle_beta 90.00
_cell_angle_gamma 120.00
loop_
_atom_site_label
_atom_site_type_symbol
_atom_site_fract_x
_atom_site_fract_y
_atom_site_fract_z
K1 K 0.0000 0.0000 0.0000
K2 K 0.3333 0.6667 0.6331
Na1 Na 0.0000 0.0000 0.5000
Te1 Te 0.3333 0.6667 0.1643
O1 O 0.1786 0.3573 0.2829
```

No. 6
The following is a PBE-GGA calculation of an optimized crystal structure of NaAgBi, from the Alexandria database.

Calculated values
Calculated total energy, eV per atom: -2.790
D(E_F), states/eV/f.u.: 2.3
Spin magnetization, μB per cell: 0.00

Geometry as CIF:
```
data_NaAgBi
_space_group_name_H-M_alt 'F -4 3 m'
_space_group_IT_number 216
_space_group_name_Hall 'F -4 2 3'
_cell_length_a 6.896
_cell_length_b 6.896
_cell_length_c 6.896
_cell_angle_alpha 90.00
_cell_angle_beta 90.00
_cell_angle_gamma 90.00
loop_
_atom_site_label
_atom_site_type_symbol
_atom_site_fract_x
_atom_site_fract_y
_atom_site_fract_z
Na1 Na 0.000 0.000 0.000
Ag1 Ag 0.250 0.250 0.750
Bi1 Bi 0.000 0.000 0.500
```

> The highest D(E_F) belongs to which entry?

Ba3Ac3NpO8

> Number 5 is which compound?

K3NaTe2O6